[1]
Ce8Ge2Pt3: relaxed, PBE.

Space-group type: No. 12

Cell: 9.083 9.083 6.502 Å, 106.99 106.99 45.91°
Positions (direct):
Ce: 0.096 0.096 0.430
Ce: 0.168 0.611 0.065
Ce: 0.304 0.304 0.421
Ce: 0.389 0.832 0.935
Ce: 0.611 0.168 0.065
Ce: 0.696 0.696 0.579
Ce: 0.832 0.389 0.935
Ce: 0.904 0.904 0.570
Ge: 0.236 0.236 0.838
Ge: 0.764 0.764 0.162
Pt: 0.000 0.000 0.000
Pt: 0.312 0.688 0.500
Pt: 0.688 0.312 0.500



[2]
Ce3Ge6Pt20: relaxed, PBE.

Space-group type: No. 225

Cell: 8.928 8.928 8.928 Å, 60.00 60.00 60.00°
Positions (direct):
Ce: 0.000 0.000 0.000
Ce: 0.250 0.250 0.250
Ce: 0.750 0.750 0.750
Ge: 0.268 0.268 0.732
Ge: 0.268 0.732 0.268
Ge: 0.268 0.732 0.732
Ge: 0.732 0.268 0.268
Ge: 0.732 0.268 0.732
Ge: 0.732 0.732 0.268
Pt: 0.000 0.000 0.348
Pt: 0.000 0.000 0.652
Pt: 0.000 0.348 0.000
Pt: 0.000 0.348 0.652
Pt: 0.000 0.652 0.000
Pt: 0.000 0.652 0.348
Pt: 0.144 0.619 0.619
Pt: 0.348 0.000 0.000
Pt: 0.348 0.000 0.652
Pt: 0.348 0.652 0.000
Pt: 0.381 0.381 0.381
Pt: 0.381 0.381 0.856
Pt: 0.381 0.856 0.381
Pt: 0.619 0.144 0.619
Pt: 0.619 0.619 0.144
Pt: 0.619 0.619 0.619
Pt: 0.652 0.000 0.000
Pt: 0.652 0.000 0.348
Pt: 0.652 0.348 0.000
Pt: 0.856 0.381 0.381



[3]
Ce5GePt2: relaxed, PBE.

Space-group type: No. 63

Cell: 5.850 5.850 16.064 Å, 90.00 90.00 134.55°
Positions (direct):
Ce: 0.076 0.924 0.576
Ce: 0.076 0.924 0.924
Ce: 0.294 0.706 0.250
Ce: 0.412 0.588 0.611
Ce: 0.412 0.588 0.889
Ce: 0.588 0.412 0.111
Ce: 0.588 0.412 0.389
Ce: 0.706 0.294 0.750
Ce: 0.924 0.076 0.076
Ce: 0.924 0.076 0.424
Ge: 0.004 0.996 0.250
Ge: 0.996 0.004 0.750
Pt: 0.255 0.745 0.067
Pt: 0.255 0.745 0.433
Pt: 0.745 0.255 0.567
Pt: 0.745 0.255 0.933



[4]
Ce12GePt6: relaxed, PBE.

Space-group type: No. 148

Cell: 8.262 8.262 8.262 Å, 97.13 97.13 97.13°
Positions (direct):
Ce: 0.023 0.651 0.945
Ce: 0.055 0.977 0.349
Ce: 0.187 0.417 0.582
Ce: 0.349 0.055 0.977
Ce: 0.417 0.582 0.187
Ce: 0.418 0.813 0.583
Ce: 0.582 0.187 0.417
Ce: 0.583 0.418 0.813
Ce: 0.651 0.945 0.023
Ce: 0.813 0.583 0.418
Ce: 0.945 0.023 0.651
Ce: 0.977 0.349 0.055
Ge: 0.000 0.000 0.000
Pt: 0.130 0.635 0.326
Pt: 0.326 0.130 0.635
Pt: 0.365 0.674 0.870
Pt: 0.635 0.326 0.130
Pt: 0.674 0.870 0.365
Pt: 0.870 0.365 0.674



[5]
Ce3Ge3Pt: relaxed, PBE.

Space-group type: No. 176

Cell: 8.489 8.489 5.790 Å, 90.00 90.00 120.00°
Positions (direct):
Ce: 0.081 0.404 0.250
Ce: 0.324 0.919 0.250
Ce: 0.404 0.324 0.750
Ce: 0.596 0.676 0.250
Ce: 0.676 0.081 0.750
Ce: 0.919 0.596 0.750
Ge: 0.072 0.341 0.750
Ge: 0.269 0.928 0.750
Ge: 0.341 0.269 0.250
Ge: 0.659 0.731 0.750
Ge: 0.731 0.072 0.250
Ge: 0.928 0.659 0.250
Pt: 0.333 0.667 0.750
Pt: 0.667 0.333 0.250



[6]
Ce3Ge6Pt5: relaxed, PBE.

Space-group type: No. 59

Cell: 4.427 13.138 9.160 Å, 90.00 90.00 90.00°
Positions (direct):
Ce: 0.250 0.059 0.240
Ce: 0.250 0.441 0.240
Ce: 0.250 0.750 0.256
Ce: 0.750 0.250 0.744
Ce: 0.750 0.559 0.760
Ce: 0.750 0.941 0.760
Ge: 0.250 0.078 0.884
Ge: 0.250 0.250 0.040
Ge: 0.250 0.250 0.444
Ge: 0.250 0.422 0.884
Ge: 0.250 0.592 0.528
Ge: 0.250 0.908 0.528
Ge: 0.750 0.092 0.472
Ge: 0.750 0.408 0.472
Ge: 0.750 0.578 0.116
Ge: 0.750 0.750 0.556
Ge: 0.750 0.750 0.960
Ge: 0.750 0.922 0.116
Pt: 0.250 0.097 0.610
Pt: 0.250 0.403 0.610
Pt: 0.250 0.626 0.978
Pt: 0.250 0.750 0.709
Pt: 0.250 0.874 0.978
Pt: 0.750 0.126 0.022
Pt: 0.750 0.250 0.291
Pt: 0.750 0.374 0.022
Pt: 0.750 0.597 0.390
Pt: 0.750 0.903 0.390



[7]
Ce2Ge3Pt2: relaxed, PBE.

Space-group type: No. 12
Polymorph energy (0 for the lowest one) in kJ/mol of atoms: 5.4

Cell: 10.082 4.352 6.731 Å, 90.00 105.69 90.00°
Positions (direct):
Ce: 0.150 0.000 0.292
Ce: 0.350 0.500 0.708
Ce: 0.650 0.500 0.292
Ce: 0.850 0.000 0.708
Ge: 0.000 0.500 0.500
Ge: 0.110 0.500 0.943
Ge: 0.390 0.000 0.057
Ge: 0.500 0.000 0.500
Ge: 0.610 0.000 0.943
Ge: 0.890 0.500 0.057
Pt: 0.151 0.000 0.762
Pt: 0.349 0.500 0.238
Pt: 0.651 0.500 0.762
Pt: 0.849 0.000 0.238



[8]
Ce8Ge5Pt: relaxed, PBE.

Space-group type: No. 82

Cell: 7.737 7.737 7.737 Å, 109.95 109.95 108.52°
Positions (direct):
Ce: 0.014 0.127 0.741
Ce: 0.233 0.480 0.603
Ce: 0.370 0.767 0.247
Ce: 0.387 0.274 0.259
Ce: 0.520 0.123 0.753
Ce: 0.726 0.986 0.113
Ce: 0.873 0.613 0.887
Ce: 0.877 0.630 0.397
Ge: 0.004 0.373 0.129
Ge: 0.125 0.996 0.369
Ge: 0.244 0.875 0.871
Ge: 0.500 0.500 0.000
Ge: 0.627 0.756 0.631
Pt: 0.750 0.250 0.500



[9]
CeGe3Pt3: relaxed, PBE.

Space-group type: No. 148
Polymorph energy (0 for the lowest one) in kJ/mol of atoms: 0.0

Cell: 7.652 7.652 7.652 Å, 56.59 56.59 56.59°
Positions (direct):
Ce: 0.166 0.166 0.166
Ce: 0.834 0.834 0.834
Ge: 0.117 0.712 0.416
Ge: 0.288 0.584 0.883
Ge: 0.416 0.117 0.712
Ge: 0.584 0.883 0.288
Ge: 0.712 0.416 0.117
Ge: 0.883 0.288 0.584
Pt: 0.030 0.383 0.736
Pt: 0.264 0.970 0.617
Pt: 0.383 0.736 0.030
Pt: 0.617 0.264 0.970
Pt: 0.736 0.030 0.383
Pt: 0.970 0.617 0.264



[10]
Ce3GePt3: relaxed, PBE.

Space-group type: No. 12

Cell: 5.827 5.827 14.714 Å, 108.46 108.46 41.87°
Positions (direct):
Ce: 0.024 0.024 0.386
Ce: 0.102 0.102 0.923
Ce: 0.243 0.243 0.229
Ce: 0.757 0.757 0.771
Ce: 0.898 0.898 0.077
Ce: 0.976 0.976 0.614
Ge: 0.267 0.267 0.610
Ge: 0.733 0.733 0.390
Pt: 0.365 0.365 0.454
Pt: 0.370 0.370 0.924
Pt: 0.486 0.486 0.770
Pt: 0.514 0.514 0.230
Pt: 0.630 0.630 0.076
Pt: 0.635 0.635 0.546



[11]
CeGe3Pt: relaxed, PBE.

Space-group type: No. 31

Cell: 6.128 5.701 5.900 Å, 90.00 90.00 90.00°
Positions (direct):
Ce: 0.000 0.139 0.000
Ce: 0.500 0.861 0.500
Ge: 0.000 0.920 0.554
Ge: 0.233 0.306 0.451
Ge: 0.267 0.694 0.951
Ge: 0.500 0.080 0.054
Ge: 0.733 0.694 0.951
Ge: 0.767 0.306 0.451
Pt: 0.000 0.613 0.259
Pt: 0.500 0.387 0.759



[12]
Ce3Ge2Pt4: relaxed, PBE.

Space-group type: No. 12

Cell: 5.786 5.786 8.699 Å, 112.54 112.54 44.73°
Positions (direct):
Ce: 0.000 0.000 0.000
Ce: 0.359 0.359 0.313
Ce: 0.641 0.641 0.687
Ge: 0.344 0.344 0.676
Ge: 0.656 0.656 0.324
Pt: 0.086 0.086 0.409
Pt: 0.287 0.287 0.930
Pt: 0.713 0.713 0.070
Pt: 0.914 0.914 0.591



[13]
CeGePt3: relaxed, PBE.

Space-group type: No. 55
Polymorph energy (0 for the lowest one) in kJ/mol of atoms: 26.6

Cell: 5.522 7.253 5.127 Å, 90.00 90.00 90.00°
Positions (direct):
Ce: 0.000 0.000 0.000
Ce: 0.500 0.500 0.000
Ge: 0.000 0.500 0.500
Ge: 0.500 0.000 0.500
Pt: 0.000 0.500 0.000
Pt: 0.110 0.175 0.500
Pt: 0.390 0.675 0.500
Pt: 0.500 0.000 0.000
Pt: 0.610 0.325 0.500
Pt: 0.890 0.825 0.500



[14]
Ce12Ge6Pt: relaxed, PBE.

Space-group type: No. 148

Cell: 7.865 7.865 7.865 Å, 95.30 95.30 95.30°
Positions (direct):
Ce: 0.037 0.661 0.933
Ce: 0.067 0.963 0.339
Ce: 0.144 0.501 0.405
Ce: 0.339 0.067 0.963
Ce: 0.405 0.144 0.501
Ce: 0.499 0.595 0.856
Ce: 0.501 0.405 0.144
Ce: 0.595 0.856 0.499
Ce: 0.661 0.933 0.037
Ce: 0.856 0.499 0.595
Ce: 0.933 0.037 0.661
Ce: 0.963 0.339 0.067
Ge: 0.183 0.340 0.764
Ge: 0.236 0.817 0.660
Ge: 0.340 0.764 0.183
Ge: 0.660 0.236 0.817
Ge: 0.764 0.183 0.340
Ge: 0.817 0.660 0.236
Pt: 0.500 0.500 0.500



[15]
Ce4GePt: relaxed, PBE.

Space-group type: No. 124
Polymorph energy (0 for the lowest one) in kJ/mol of atoms: 0.0

Cell: 7.149 7.149 5.701 Å, 90.00 90.00 90.00°
Positions (direct):
Ce: 0.143 0.351 0.000
Ce: 0.143 0.649 0.500
Ce: 0.351 0.143 0.500
Ce: 0.351 0.857 0.000
Ce: 0.649 0.143 0.000
Ce: 0.649 0.857 0.500
Ce: 0.857 0.351 0.500
Ce: 0.857 0.649 0.000
Ge: 0.500 0.500 0.250
Ge: 0.500 0.500 0.750
Pt: 0.000 0.000 0.250
Pt: 0.000 0.000 0.750



[16]
Ce4GePt3: relaxed, PBE.

Space-group type: No. 25

Cell: 3.986 4.341 11.054 Å, 90.00 90.00 90.00°
Positions (direct):
Ce: 0.000 0.000 0.000
Ce: 0.000 0.500 0.274
Ce: 0.500 0.000 0.498
Ce: 0.500 0.500 0.778
Ge: 0.000 0.000 0.717
Pt: 0.000 0.500 0.551
Pt: 0.500 0.000 0.231
Pt: 0.500 0.500 0.045



[17]
Ce2Ge3Pt2: relaxed, PBE.

Space-group type: No. 63
Polymorph energy (0 for the lowest one) in kJ/mol of atoms: 0.0

Cell: 9.542 9.542 7.042 Å, 90.00 90.00 153.78°
Positions (direct):
Ce: 0.055 0.945 0.750
Ce: 0.156 0.844 0.250
Ce: 0.844 0.156 0.750
Ce: 0.945 0.055 0.250
Ge: 0.222 0.778 0.750
Ge: 0.438 0.562 0.566
Ge: 0.438 0.562 0.934
Ge: 0.562 0.438 0.066
Ge: 0.562 0.438 0.434
Ge: 0.778 0.222 0.250
Pt: 0.307 0.693 0.046
Pt: 0.307 0.693 0.454
Pt: 0.693 0.307 0.546
Pt: 0.693 0.307 0.954



[18]
CeGe3Pt2: relaxed, PBE.

Space-group type: No. 12

Cell: 8.172 8.172 7.173 Å, 112.10 112.10 31.06°
Positions (direct):
Ce: 0.129 0.129 0.149
Ce: 0.871 0.871 0.851
Ge: 0.039 0.039 0.681
Ge: 0.322 0.322 0.113
Ge: 0.337 0.337 0.534
Ge: 0.663 0.663 0.466
Ge: 0.678 0.678 0.887
Ge: 0.961 0.961 0.319
Pt: 0.209 0.209 0.701
Pt: 0.496 0.496 0.187
Pt: 0.504 0.504 0.813
Pt: 0.791 0.791 0.299



no.,formation energy (eV per atom)
1,-0.504
2,-0.561
3,-0.708
4,-0.594
5,-0.581
6,-0.822
7,-0.809
8,-0.716
9,-0.583
10,-1.026
11,-0.654
12,-1.059
13,-0.629
14,-0.496
15,-0.570
16,-0.996
17,-0.865
18,-0.690